[1]
This record from Alexandria describes a geometry-optimized TbNd8In2 structure. The functional is PBE-GGA.

**SG**: No. 12
**ΔE_f**: -0.06 eV per atom
**Crystal system**: monoclinic
**Mass density**: 6957 kg/m³

Cell lengths 9.0359, 9.0359, 5.9072 Å; angles 103.62, 103.62, 120.06 degrees
Last column: nearest neighbours and their distance in Å.
Atoms (fractional coordinates):
Tb 0.0000 0.0000 0.0000  4 Nd 3.30-3.39
Nd 0.0942 0.3249 0.6307  2 In 3.30-3.43, 6 Nd 3.35-3.65
Nd 0.2164 0.7836 0.0000  2 In 3.27, 1 Tb 3.39, 4 Nd 3.63-3.65
Nd 0.3249 0.0942 0.6307  2 In 3.30-3.43, 6 Nd 3.35-3.65
Nd 0.4091 0.4091 0.2077  1 Nd 3.05, 1 Tb 3.30, 2 In 3.39
Nd 0.5909 0.5909 0.7923  1 Nd 3.05, 1 Tb 3.30, 2 In 3.39
Nd 0.6751 0.9058 0.3693  2 In 3.30-3.43, 6 Nd 3.35-3.65
Nd 0.7836 0.2164 0.0000  2 In 3.27, 1 Tb 3.39, 4 Nd 3.63-3.65
Nd 0.9058 0.6751 0.3693  2 In 3.30-3.43, 6 Nd 3.35-3.65
In 0.3064 0.6936 0.5000  8 Nd 3.27-3.43
In 0.6936 0.3064 0.5000  8 Nd 3.27-3.43

***

[2]
This record from Alexandria describes a geometry-optimized Tb7Nd4In structure. The functional is PBE-GGA.

**SG**: No. 12
**ΔE_f**: 0.16 eV per atom
**Crystal system**: monoclinic
**Mass density**: 7329 kg/m³

Cell lengths 6.7856, 6.7856, 12.5865 Å; angles 113.01, 113.01, 51.53 degrees
Last column: nearest neighbours and their distance in Å.
Atoms (fractional coordinates):
Tb 0.0000 0.0000 0.0000  2 In 2.95
Tb 0.1327 0.1327 0.4836  5 Nd 3.35-3.62, 2 Tb 3.39-3.44
Tb 0.2993 0.2993 0.0776  1 In 3.01, 1 Tb 3.35
Tb 0.4043 0.4043 0.7247  1 In 3.14, 2 Tb 3.39
Tb 0.5957 0.5957 0.2753  1 In 3.14, 2 Tb 3.39
Tb 0.7007 0.7007 0.9224  1 In 3.01, 1 Tb 3.35
Tb 0.8673 0.8673 0.5164  5 Nd 3.35-3.62, 2 Tb 3.39-3.44
Nd 0.1281 0.1281 0.7690  6 Tb 3.39-3.65, 2 Nd 3.54
Nd 0.3311 0.3311 0.3653  4 Tb 3.35-3.47, 2 Nd 3.54
Nd 0.6689 0.6689 0.6347  4 Tb 3.35-3.47, 2 Nd 3.54
Nd 0.8719 0.8719 0.2310  6 Tb 3.39-3.65, 2 Nd 3.54
In 0.5000 0.5000 0.0000  6 Tb 2.95-3.14

***

[3]
This record from Alexandria describes a geometry-optimized Tb12Nd3In structure. The functional is PBE-GGA.

**SG**: No. 123
**ΔE_f**: -0.04 eV per atom
**Crystal system**: tetragonal
**Mass density**: 8016 kg/m³

Cell lengths 5.0030, 5.0030, 20.3161 Å; angles 90.00, 90.00, 90.00 degrees
Last column: nearest neighbours and their distance in Å.
Atoms (fractional coordinates):
Tb 0.0000 0.0000 0.0000  8 Tb 3.48, 4 In 3.54
Tb 0.0000 0.0000 0.2434  4 Nd 3.54, 8 Tb 3.55-3.63
Tb 0.0000 0.0000 0.5000  4 Nd 3.54, 8 Tb 3.59
Tb 0.0000 0.0000 0.7566  4 Nd 3.54, 8 Tb 3.55-3.63
Tb 0.0000 0.5000 0.1194  8 Tb 3.48-3.55, 2 In 3.48, 2 Nd 3.62
Tb 0.0000 0.5000 0.3731  8 Tb 3.54-3.63, 4 Nd 3.57-3.59
Tb 0.0000 0.5000 0.6269  8 Tb 3.54-3.63, 4 Nd 3.57-3.59
Tb 0.0000 0.5000 0.8806  8 Tb 3.48-3.55, 2 In 3.48, 2 Nd 3.62
Tb 0.5000 0.0000 0.1194  8 Tb 3.48-3.55, 2 In 3.48, 2 Nd 3.62
Tb 0.5000 0.0000 0.3731  8 Tb 3.54-3.63, 4 Nd 3.57-3.59
Tb 0.5000 0.0000 0.6269  8 Tb 3.54-3.63, 4 Nd 3.57-3.59
Tb 0.5000 0.0000 0.8806  8 Tb 3.48-3.55, 2 In 3.48, 2 Nd 3.62
Nd 0.5000 0.5000 0.2479  12 Tb 3.54-3.62
Nd 0.5000 0.5000 0.5000  12 Tb 3.54-3.59
Nd 0.5000 0.5000 0.7521  12 Tb 3.54-3.62
In 0.5000 0.5000 0.0000  12 Tb 3.48-3.54

***

[4]
This record from Alexandria describes a geometry-optimized Tb9Nd4In11 structure. The functional is PBE-GGA.

**SG**: No. 65
**ΔE_f**: -0.41 eV per atom
**Crystal system**: orthorhombic
**Mass density**: 8130 kg/m³

Cell lengths 14.2802, 14.2802, 3.5149 Å; angles 90.00, 90.00, 111.27 degrees
Last column: nearest neighbours and their distance in Å.
Atoms (fractional coordinates):
Tb 0.0000 0.0000 0.0000  4 In 3.36, 4 Nd 3.42, 2 Tb 3.51
Tb 0.1111 0.6660 0.0000  8 In 3.26-3.47, 1 Nd 3.48, 3 Tb 3.51-3.59
Tb 0.2970 0.4912 0.0000  8 In 3.25-3.35, 3 Tb 3.42-3.51, 1 Nd 3.54
Tb 0.3340 0.8889 0.0000  8 In 3.26-3.47, 1 Nd 3.48, 3 Tb 3.51-3.59
Tb 0.4912 0.2970 0.0000  8 In 3.25-3.35, 3 Tb 3.42-3.51, 1 Nd 3.54
Tb 0.5088 0.7030 0.0000  8 In 3.25-3.35, 3 Tb 3.42-3.51, 1 Nd 3.54
Tb 0.6660 0.1111 0.0000  8 In 3.26-3.47, 1 Nd 3.48, 3 Tb 3.51-3.59
Tb 0.7030 0.5088 0.0000  8 In 3.25-3.35, 3 Tb 3.42-3.51, 1 Nd 3.54
Tb 0.8889 0.3340 0.0000  8 In 3.26-3.47, 1 Nd 3.48, 3 Tb 3.51-3.59
Nd 0.0938 0.2570 0.0000  6 In 3.31-3.46, 3 Tb 3.42-3.54, 2 Nd 3.51
Nd 0.2570 0.0938 0.0000  6 In 3.31-3.46, 3 Tb 3.42-3.54, 2 Nd 3.51
Nd 0.7430 0.9062 0.0000  6 In 3.31-3.46, 3 Tb 3.42-3.54, 2 Nd 3.51
Nd 0.9062 0.7430 0.0000  6 In 3.31-3.46, 3 Tb 3.42-3.54, 2 Nd 3.51
In 0.0909 0.4612 0.5000  3 In 3.17-3.51, 6 Tb 3.30-3.33, 2 Nd 3.42
In 0.1212 0.8788 0.5000  6 Tb 3.36-3.47, 4 Nd 3.46, 2 In 3.51
In 0.3020 0.3020 0.5000  3 In 3.19-3.51, 4 Tb 3.25, 4 Nd 3.31
In 0.3107 0.6893 0.5000  8 Tb 3.26-3.28, 4 In 3.51-3.61
In 0.4612 0.0909 0.5000  3 In 3.17-3.51, 6 Tb 3.30-3.33, 2 Nd 3.42
In 0.5000 0.5000 0.5000  4 In 3.19-3.51, 8 Tb 3.35
In 0.5388 0.9091 0.5000  3 In 3.17-3.51, 6 Tb 3.30-3.33, 2 Nd 3.42
In 0.6893 0.3107 0.5000  8 Tb 3.26-3.28, 4 In 3.51-3.61
In 0.6980 0.6980 0.5000  3 In 3.19-3.51, 4 Tb 3.25, 4 Nd 3.31
In 0.8788 0.1212 0.5000  6 Tb 3.36-3.47, 4 Nd 3.46, 2 In 3.51
In 0.9091 0.5388 0.5000  3 In 3.17-3.51, 6 Tb 3.30-3.33, 2 Nd 3.42

***

[5]
This record from Alexandria describes a geometry-optimized Tb3Nd3In2 structure. The functional is PBE-GGA.

**Energy above the most stable polymorph in this dataset**: 108.4 meV per atom
**SG**: No. 63
**ΔE_f**: -0.16 eV per atom
**Crystal system**: orthorhombic
**Mass density**: 7423 kg/m³

Cell lengths 6.5675, 6.5675, 16.1346 Å; angles 90.00, 90.00, 132.91 degrees
Last column: nearest neighbours and their distance in Å.
Atoms (fractional coordinates):
Tb 0.0451 0.9549 0.7500  2 In 3.25, 5 Nd 3.36-3.51
Tb 0.1398 0.8602 0.0343  3 In 3.15-3.29
Tb 0.1398 0.8602 0.4657  3 In 3.15-3.29
Tb 0.8602 0.1398 0.5343  3 In 3.15-3.29
Tb 0.8602 0.1398 0.9657  3 In 3.15-3.29
Tb 0.9549 0.0451 0.2500  2 In 3.25, 5 Nd 3.36-3.51
Nd 0.2342 0.7658 0.2500  4 In 3.20, 1 Tb 3.36, 2 Nd 3.59
Nd 0.4602 0.5398 0.1052  1 In 3.31, 6 Tb 3.51-3.66, 2 Nd 3.53-3.59
Nd 0.4602 0.5398 0.3948  1 In 3.31, 6 Tb 3.51-3.66, 2 Nd 3.53-3.59
Nd 0.5398 0.4602 0.6052  1 In 3.31, 6 Tb 3.51-3.66, 2 Nd 3.53-3.59
Nd 0.5398 0.4602 0.8948  1 In 3.31, 6 Tb 3.51-3.66, 2 Nd 3.53-3.59
Nd 0.7658 0.2342 0.7500  4 In 3.20, 1 Tb 3.36, 2 Nd 3.59
In 0.2679 0.7321 0.6360  4 Tb 3.15-3.29, 3 Nd 3.20-3.31
In 0.2679 0.7321 0.8640  4 Tb 3.15-3.29, 3 Nd 3.20-3.31
In 0.7321 0.2679 0.1360  4 Tb 3.15-3.29, 3 Nd 3.20-3.31
In 0.7321 0.2679 0.3640  4 Tb 3.15-3.29, 3 Nd 3.20-3.31

***

[6]
This record from Alexandria describes a geometry-optimized Tb15Nd4In structure. The functional is PBE-GGA.

**SG**: No. 123
**ΔE_f**: -0.03 eV per atom
**Crystal system**: tetragonal
**Mass density**: 7990 kg/m³

Cell lengths 5.0154, 5.0154, 25.4103 Å; angles 90.00, 90.00, 90.00 degrees
Last column: nearest neighbours and their distance in Å.
Atoms (fractional coordinates):
Tb 0.0000 0.0000 0.0000  8 Tb 3.49, 4 In 3.55
Tb 0.0000 0.0000 0.1947  4 Nd 3.55, 8 Tb 3.56-3.63
Tb 0.0000 0.0000 0.3984  4 Nd 3.55, 8 Tb 3.58-3.60
Tb 0.0000 0.0000 0.6016  4 Nd 3.55, 8 Tb 3.58-3.60
Tb 0.0000 0.0000 0.8053  4 Nd 3.55, 8 Tb 3.56-3.63
Tb 0.0000 0.5000 0.0954  8 Tb 3.49-3.56, 2 In 3.49, 2 Nd 3.61
Tb 0.0000 0.5000 0.2979  8 Tb 3.55-3.63, 4 Nd 3.58-3.59
Tb 0.0000 0.5000 0.5000  8 Tb 3.55-3.60, 4 Nd 3.59
Tb 0.0000 0.5000 0.7021  8 Tb 3.55-3.63, 4 Nd 3.58-3.59
Tb 0.0000 0.5000 0.9046  8 Tb 3.49-3.56, 2 In 3.49, 2 Nd 3.61
Tb 0.5000 0.0000 0.0954  8 Tb 3.49-3.56, 2 In 3.49, 2 Nd 3.61
Tb 0.5000 0.0000 0.2979  8 Tb 3.55-3.63, 4 Nd 3.58-3.59
Tb 0.5000 0.0000 0.5000  8 Tb 3.55-3.60, 4 Nd 3.59
Tb 0.5000 0.0000 0.7021  8 Tb 3.55-3.63, 4 Nd 3.58-3.59
Tb 0.5000 0.0000 0.9046  8 Tb 3.49-3.56, 2 In 3.49, 2 Nd 3.61
Nd 0.5000 0.5000 0.1974  12 Tb 3.55-3.61
Nd 0.5000 0.5000 0.3991  12 Tb 3.55-3.59
Nd 0.5000 0.5000 0.6009  12 Tb 3.55-3.59
Nd 0.5000 0.5000 0.8026  12 Tb 3.55-3.61
In 0.5000 0.5000 0.0000  12 Tb 3.49-3.55

***

[7]
This record from Alexandria describes a geometry-optimized Tb2Nd2In5 structure. The functional is PBE-GGA.

**SG**: No. 46
**ΔE_f**: -0.29 eV per atom
**Crystal system**: orthorhombic
**Mass density**: 7436 kg/m³

Cell lengths 9.4907, 9.4907, 9.4907 Å; angles 82.22, 134.99, 115.36 degrees
Last column: nearest neighbours and their distance in Å.
Atoms (fractional coordinates):
Tb 0.0000 0.0000 0.0000  6 In 3.10-3.26
Tb 0.0000 0.5000 0.5000  6 In 3.10-3.26
Tb 0.1288 0.8825 0.7463  4 In 3.17-3.29
Tb 0.1361 0.3825 0.2537  4 In 3.17-3.29
Nd 0.5386 0.6923 0.0997  6 In 3.21-3.58, 1 Nd 3.53
Nd 0.5386 0.9389 0.3463  6 In 3.21-3.58, 1 Nd 3.53
Nd 0.5926 0.1923 0.6537  6 In 3.21-3.58, 1 Nd 3.53
Nd 0.5926 0.4389 0.9003  6 In 3.21-3.58, 1 Nd 3.53
In 0.0370 0.6009 0.9361  4 In 3.17-3.21, 2 Tb 3.17-3.20, 2 Nd 3.49
In 0.0516 0.1899 0.5588  2 In 2.82-2.97, 1 Tb 3.10
In 0.0516 0.9928 0.3617  2 In 2.82-2.97, 1 Tb 3.10
In 0.0901 0.3219 0.8566  3 In 2.97-3.17, 2 Tb 3.19-3.26, 1 Nd 3.21
In 0.0901 0.7334 0.2681  3 In 2.97-3.17, 2 Tb 3.19-3.26, 1 Nd 3.21
In 0.4653 0.2334 0.1434  3 In 2.97-3.17, 2 Tb 3.19-3.26, 1 Nd 3.21
In 0.4653 0.8219 0.7319  3 In 2.97-3.17, 2 Tb 3.19-3.26, 1 Nd 3.21
In 0.6311 0.4928 0.4412  2 In 2.82-2.97, 1 Tb 3.10
In 0.6311 0.6899 0.6383  2 In 2.82-2.97, 1 Tb 3.10
In 0.6648 0.1009 0.0639  4 In 3.17-3.21, 2 Tb 3.17-3.20, 2 Nd 3.49

***

[8]
This record from Alexandria describes a geometry-optimized Tb4Nd5In4 structure. The functional is PBE-GGA.

**SG**: No. 87
**ΔE_f**: -0.31 eV per atom
**Crystal system**: tetragonal
**Mass density**: 7480 kg/m³

Cell lengths 9.2194, 9.2194, 9.2194 Å; angles 94.46, 94.46, 147.60 degrees
Last column: nearest neighbours and their distance in Å.
Atoms (fractional coordinates):
Tb 0.0945 0.3921 0.4866  3 In 3.17-3.33
Tb 0.3921 0.9055 0.2977  3 In 3.17-3.33
Tb 0.6079 0.0945 0.7023  3 In 3.17-3.33
Tb 0.9055 0.6079 0.5134  3 In 3.17-3.33
Nd 0.0000 0.0000 0.0000  4 In 3.24
Nd 0.3089 0.5984 0.9072  5 In 3.28-3.66, 2 Tb 3.60
Nd 0.4016 0.3089 0.7105  5 In 3.28-3.66, 2 Tb 3.60
Nd 0.5984 0.6911 0.2895  5 In 3.28-3.66, 2 Tb 3.60
Nd 0.6911 0.4016 0.0928  5 In 3.28-3.66, 2 Tb 3.60
In 0.1050 0.7633 0.8683  3 Tb 3.17-3.33, 4 Nd 3.24-3.28
In 0.2367 0.1050 0.3416  3 Tb 3.17-3.33, 4 Nd 3.24-3.28
In 0.7633 0.8950 0.6584  3 Tb 3.17-3.33, 4 Nd 3.24-3.28
In 0.8950 0.2367 0.1317  3 Tb 3.17-3.33, 4 Nd 3.24-3.28

***

[9]
This record from Alexandria describes a geometry-optimized TbNd2In structure. The functional is PBE-GGA.

**Energy above the most stable polymorph in this dataset**: 153.9 meV per atom
**SG**: No. 160
**ΔE_f**: -0.12 eV per atom
**Crystal system**: trigonal
**Mass density**: 7157 kg/m³

Cell lengths 3.6916, 3.6916, 33.1581 Å; angles 90.00, 90.00, 120.00 degrees
Last column: nearest neighbours and their distance in Å.
Atoms (fractional coordinates):
Tb 0.0000 0.0000 0.0000  6 Nd 3.62, 6 Tb 3.69
Tb 0.3333 0.6667 0.6667  6 Nd 3.62, 6 Tb 3.69
Tb 0.6667 0.3333 0.3333  6 Nd 3.62, 6 Tb 3.69
Nd 0.0000 0.0000 0.5782  3 In 3.37, 3 Tb 3.62, 6 Nd 3.69
Nd 0.0000 0.0000 0.7549  3 In 3.35, 3 Tb 3.62, 6 Nd 3.69
Nd 0.3333 0.6667 0.2449  3 In 3.37, 3 Tb 3.62, 6 Nd 3.69
Nd 0.3333 0.6667 0.4216  3 In 3.35, 3 Tb 3.62, 6 Nd 3.69
Nd 0.6667 0.3333 0.0882  3 In 3.35, 3 Tb 3.62, 6 Nd 3.69
Nd 0.6667 0.3333 0.9116  3 In 3.37, 3 Tb 3.62, 6 Nd 3.69
In 0.0000 0.0000 0.1663  6 Nd 3.35-3.37, 6 In 3.69
In 0.3333 0.6667 0.8329  6 Nd 3.35-3.37, 6 In 3.69
In 0.6667 0.3333 0.4996  6 Nd 3.35-3.37, 6 In 3.69